Compound: NaCuAu
Source: Alexandria
Functional: GGA-PBE
Structure: optimized geometry

Unit cell a=7.7366 b=7.7366 c=7.7366 alpha=148.93 beta=148.93 gamma=44.51
Closest atoms and distances in Å follow each position.
Fractional coordinates of all 6 atoms:
Na 0.1721 0.1721 0.0000  5 Au 3.06-3.11, 4 Cu 3.22
Na 0.8279 0.8279 0.0000  5 Au 3.06-3.11, 4 Cu 3.22
Cu 0.0000 0.5000 0.5000  4 Au 2.61
Cu 0.5000 0.0000 0.5000  4 Au 2.61
Au 0.3893 0.3893 0.0000  4 Cu 2.61
Au 0.6107 0.6107 0.0000  4 Cu 2.61

* total magnetic moment: 0.0 μB/cell
* electronic total energy: -2.94 eV/atom
* symmetry: I4/mmm (139)